1.
# ZrBeSe2 | Alexandria | SCAN | PBEsol geometry
# - Formation energy (no corrections): -0.407 eV/atom
# - DFT total energy: -76.84 eV/cell
data_ZrBeSe2
_chemical_formula_sum 'Zr1 Be1 Se2'
_space_group_name_H-M_alt 'P 4/m m m'
_space_group_IT_number 123
_space_group_name_Hall '-P 4 2'
_cell_length_a 4.4849
_cell_length_b 4.4849
_cell_length_c 3.3254
_cell_angle_alpha 90.00
_cell_angle_beta 90.00
_cell_angle_gamma 90.00
loop_
_atom_site_label
_atom_site_fract_x
_atom_site_fract_y
_atom_site_fract_z
Zr1 0.0000 0.0000 0.0000
Be1 0.5000 0.5000 0.0000
Se1 0.0000 0.5000 0.5000



2.
# ZrBe2Se | Alexandria | SCAN | PBEsol geometry
# - Formation energy (no corrections): -0.191 eV/atom
# - DFT total energy: -120.50 eV/cell
data_ZrBe2Se
_chemical_formula_sum 'Zr2 Be4 Se2'
_space_group_name_H-M_alt 'I -4 m 2'
_space_group_IT_number 119
_space_group_name_Hall 'I -4 -2'
_cell_length_a 3.6626
_cell_length_b 3.6626
_cell_length_c 8.3338
_cell_angle_alpha 90.00
_cell_angle_beta 90.00
_cell_angle_gamma 90.00
loop_
_atom_site_label
_atom_site_fract_x
_atom_site_fract_y
_atom_site_fract_z
Zr1 0.0000 0.0000 0.0000
Be1 0.0000 0.0000 0.5000
Be2 0.0000 0.5000 0.2500
Se1 0.0000 0.5000 0.7500